Entry 1:
Ta2NiBH GGA-PBE optimized geometry; E_tot = -39.19 eV per cell; M_tot = 0.00 μB/f.u.
1.0
4.016 0.000 0.000
0.000 4.016 0.000
0.000 0.000 3.456
Ta Ni B H
2 1 1 1
direct
0.000 0.500 0.000
0.500 0.000 0.000
0.000 0.000 0.500
0.500 0.500 0.500
0.000 0.000 0.000

Entry 2:
UNi6BH GGA-PBE optimized geometry; E_tot = -112.97 eV per cell; M_tot = 1.58 μB/f.u.
1.0
-3.323 3.338 4.754
3.323 -3.338 4.754
3.323 3.338 -4.754
U Ni B H
2 12 2 2
direct
0.395 0.145 0.250
0.605 0.855 0.750
0.099 0.423 0.271
0.099 0.828 0.676
0.105 0.855 0.250
0.298 0.548 0.750
0.348 0.172 0.771
0.348 0.577 0.176
0.652 0.423 0.824
0.652 0.828 0.229
0.702 0.452 0.250
0.895 0.145 0.750
0.901 0.172 0.324
0.901 0.577 0.729
0.000 0.000 0.500
0.000 0.500 0.000
0.000 0.500 0.500
0.500 0.500 0.000

Q: What is the E_tot in the second record?
A: -112.97 eV per cell